[1]
Tm5InPt2: relaxed, GGA-PBE.

As for the total energy: -5.497 eV per atom. As for the density of states at the Fermi level: 37.02 states/eV/cell.

The space group is I4/mcm (No. 140) and the conventional cell measures 7.762, 7.762 and 13.279 Å, with angles of 90.00, 90.00 and 90.00 degrees. Symmetry generates all atoms from Tm at (0.000, 0.000, 0.000), Tm at (0.159, 0.341, 0.137), In at (0.000, 0.000, 0.250) and Pt at (0.138, 0.362, 0.500).

***

[2]
Au5Se: relaxed, GGA-PBE.

As for the total energy: -3.174 eV per atom. For the formation energy (no corrections), the calculation gives 0.1378 eV/atom. As for the density of states at the Fermi level: 2.01 states/eV/cell.

The space group is P-62m (No. 189) and the conventional cell measures 5.1302, 5.1302 and 4.8944 Å, with angles of 90.00, 90.00 and 120.00 degrees. Symmetry generates all atoms from Au at (0.0000, 0.6600, 0.0000), Au at (0.3333, 0.6667, 0.5000) and Se at (0.0000, 0.0000, 0.5000).

***

Here are the calculated total moment numbers, same order: 0.000; 0.000 (μB per atom).